16
Lattice="6.251 0.000 0.000 0.000 6.251 0.000 0.000 0.000 6.251" Properties=species:S:1:pos:R:3 comment="Re2OsPt, optimized geometry, DFT PBE" relative_energy_mev_per_atom=683 magmom_total_mub_per_cell=0.0 ef_ev_per_atom=0.58 pbc="T T T"
Re 1.563 1.563 1.563
Re 1.563 1.563 4.688
Re 1.563 4.688 1.563
Re 1.563 4.688 4.688
Re 4.688 1.563 1.563
Re 4.688 1.563 4.688
Re 4.688 4.688 1.563
Re 4.688 4.688 4.688
Os 0.000 0.000 0.000
Os 0.000 3.126 3.126
Os 3.126 0.000 3.126
Os 3.126 3.126 0.000
Pt 0.000 0.000 3.126
Pt 0.000 3.126 0.000
Pt 3.126 0.000 0.000
Pt 3.126 3.126 3.126